Compound: Ca3TlPt
Source: Alexandria via LeMat-Bulk
Functional: PBE-GGA
Structure: optimized geometry

a b c (Å): 5.5459 5.5459 5.5459
angles (deg): 90.00 90.00 90.00
With the nearest neighbours (Å) after each atom.
Atoms (fractional coordinates):
Ca1 0.0000 0.0000 0.5000  2 Pt 2.77
Ca2 0.0000 0.5000 0.0000  2 Pt 2.77
Ca3 0.5000 0.0000 0.0000  2 Pt 2.77
Tl1 0.5000 0.5000 0.5000  12 Ca 3.92
Pt1 0.0000 0.0000 0.0000  6 Ca 2.77

Calculated values
Offset from the most stable computed form   0 meV per atom

Compound: Ag2Sn3Pd8
Source: Alexandria via LeMat-Bulk
Functional: PBE-GGA
Structure: optimized geometry

a b c (Å): 10.3497 10.3497 10.3497
angles (deg): 29.90 29.90 29.90
With the nearest neighbours (Å) after each atom.
Atoms (fractional coordinates):
Ag1 0.1350 0.1350 0.1350  4 Pd 2.66-2.80
Ag2 0.8650 0.8650 0.8650  4 Pd 2.66-2.80
Sn1 0.3121 0.3121 0.3121  10 Pd 2.59-2.86
Sn2 0.5000 0.5000 0.5000  6 Ag 3.22, 6 Pd 3.53
Sn3 0.6879 0.6879 0.6879  10 Pd 2.59-2.86
Pd1 0.2228 0.2228 0.7231  4 Pd 2.67, 3 Sn 2.77-2.86, 1 Ag 2.80
Pd2 0.2228 0.7231 0.2228  4 Pd 2.67, 3 Sn 2.77-2.86, 1 Ag 2.80
Pd3 0.2248 0.2248 0.2248  1 Sn 2.59, 1 Ag 2.66
Pd4 0.2769 0.7772 0.7772  4 Pd 2.67, 3 Sn 2.77-2.86, 1 Ag 2.80
Pd5 0.7231 0.2228 0.2228  4 Pd 2.67, 3 Sn 2.77-2.86, 1 Ag 2.80
Pd6 0.7752 0.7752 0.7752  1 Sn 2.59, 1 Ag 2.66
Pd7 0.7772 0.2769 0.7772  4 Pd 2.67, 3 Sn 2.77-2.86, 1 Ag 2.80
Pd8 0.7772 0.7772 0.2769  4 Pd 2.67, 3 Sn 2.77-2.86, 1 Ag 2.80

Compound: Pu3NpIn12
Source: Alexandria via LeMat-Bulk
Functional: PBE-GGA
Structure: optimized geometry

a b c (Å): 4.6391 4.6391 18.5514
angles (deg): 90.00 90.00 90.00
With the nearest neighbours (Å) after each atom.
Atoms (fractional coordinates):
Pu1 0.0000 0.0000 0.0000  12 In 3.26-3.28
Pu2 0.0000 0.0000 0.2492  12 In 3.28-3.29
Pu3 0.0000 0.0000 0.7508  12 In 3.28-3.29
Np1 0.0000 0.0000 0.5000  12 In 3.28-3.29
In1 0.0000 0.5000 0.1232  8 In 3.26-3.29, 4 Pu 3.26-3.29
In2 0.0000 0.5000 0.3745  8 In 3.28-3.29, 2 Pu 3.28, 2 Np 3.29
In3 0.0000 0.5000 0.6255  8 In 3.28-3.29, 2 Pu 3.28, 2 Np 3.29
In4 0.0000 0.5000 0.8768  8 In 3.26-3.29, 4 Pu 3.26-3.29
In5 0.5000 0.0000 0.1232  8 In 3.26-3.29, 4 Pu 3.26-3.29
In6 0.5000 0.0000 0.3745  8 In 3.28-3.29, 2 Pu 3.28, 2 Np 3.29
In7 0.5000 0.0000 0.6255  8 In 3.28-3.29, 2 Pu 3.28, 2 Np 3.29
In8 0.5000 0.0000 0.8768  8 In 3.26-3.29, 4 Pu 3.26-3.29
In9 0.5000 0.5000 0.0000  8 In 3.26, 4 Pu 3.28
In10 0.5000 0.5000 0.2487  4 Pu 3.28, 8 In 3.29
In11 0.5000 0.5000 0.5000  4 Np 3.28, 8 In 3.29
In12 0.5000 0.5000 0.7513  4 Pu 3.28, 8 In 3.29

Compound: La4CdW
Source: Alexandria via LeMat-Bulk
Functional: PBE-GGA
Structure: optimized geometry

a b c (Å): 6.2912 6.2912 6.2912
angles (deg): 60.00 60.00 60.00
With the nearest neighbours (Å) after each atom.
Atoms (fractional coordinates):
La1 0.1234 0.1234 0.1234  6 La 3.10-3.19
La2 0.1234 0.1234 0.6299  6 La 3.10-3.19
La3 0.1234 0.6299 0.1234  6 La 3.10-3.19
La4 0.6299 0.1234 0.1234  6 La 3.10-3.19
Cd1 0.5000 0.5000 0.5000  12 La 3.69, 4 W 3.85
W1 0.7500 0.7500 0.7500  12 La 3.68, 4 Cd 3.85

Compound: Pu3Zn4Ge2
Source: Alexandria via LeMat-Bulk
Functional: PBE-GGA
Structure: optimized geometry

a b c (Å): 5.5955 5.5955 8.6269
angles (deg): 119.48 119.48 49.11
With the nearest neighbours (Å) after each atom.
Atoms (fractional coordinates):
Pu1 0.0000 0.0000 0.0000  2 Pu 2.94, 4 Ge 3.08, 8 Zn 3.09-3.12
Pu2 0.3189 0.3189 0.3290  2 Pu 2.94-3.24, 8 Zn 3.05-3.12, 4 Ge 3.06-3.17
Pu3 0.6811 0.6811 0.6710  2 Pu 2.94-3.24, 8 Zn 3.05-3.12, 4 Ge 3.06-3.17
Zn1 0.0458 0.0458 0.3880  1 Zn 2.56, 2 Ge 2.70
Zn2 0.2822 0.2822 0.9542  2 Zn 2.65, 2 Ge 2.79-2.92
Zn3 0.7178 0.7178 0.0458  2 Zn 2.65, 2 Ge 2.79-2.92
Zn4 0.9542 0.9542 0.6120  1 Zn 2.56, 2 Ge 2.70
Ge1 0.3970 0.3970 0.7246  4 Zn 2.70-2.92
Ge2 0.6030 0.6030 0.2754  4 Zn 2.70-2.92

Compound: HoCoAg
Source: Alexandria via LeMat-Bulk
Functional: PBE-GGA
Structure: optimized geometry

a b c (Å): 8.3681 8.3681 3.7972
angles (deg): 90.00 90.00 154.31
With the nearest neighbours (Å) after each atom.
Atoms (fractional coordinates):
Ho1 0.1001 0.8999 0.7500  6 Co 2.87-2.88, 5 Ag 3.16-3.17
Ho2 0.8999 0.1001 0.2500  6 Co 2.87-2.88, 5 Ag 3.16-3.17
Co1 0.4656 0.5344 0.7500  2 Co 2.21
Co2 0.5344 0.4656 0.2500  2 Co 2.21
Ag1 0.2939 0.7061 0.7500  1 Co 2.80, 4 Ag 3.02
Ag2 0.7061 0.2939 0.2500  1 Co 2.80, 4 Ag 3.02

Compound: Pm2Be4Ge3Ru
Source: Alexandria via LeMat-Bulk
Functional: PBE-GGA
Structure: optimized geometry

a b c (Å): 3.9319 3.9319 10.0967
angles (deg): 90.00 90.00 90.00
With the nearest neighbours (Å) after each atom.
Atoms (fractional coordinates):
Pm1 0.0000 0.5000 0.2482  6 Ge 3.02-3.21, 8 Be 3.04-3.18, 2 Ru 3.21
Pm2 0.5000 0.0000 0.7518  6 Ge 3.02-3.21, 8 Be 3.04-3.18, 2 Ru 3.21
Be1 0.0000 0.0000 0.0000  4 Ge 2.37
Be2 0.0000 0.5000 0.6305  3 Ge 2.37-2.40, 2 Ru 2.37
Be3 0.5000 0.0000 0.3695  3 Ge 2.37-2.40, 2 Ru 2.37
Be4 0.5000 0.5000 0.0000  4 Ge 2.37
Ge1 0.0000 0.5000 0.8684  5 Be 2.37-2.40
Ge2 0.5000 0.0000 0.1316  5 Be 2.37-2.40
Ge3 0.5000 0.5000 0.5000  4 Be 2.37
Ru1 0.0000 0.0000 0.5000  4 Be 2.37

Compound: SbPb2W2
Source: Alexandria via LeMat-Bulk
Functional: PBE-GGA
Structure: optimized geometry

a b c (Å): 7.2187 7.2187 7.2187
angles (deg): 145.27 145.27 49.93
With the nearest neighbours (Å) after each atom.
Atoms (fractional coordinates):
Sb1 0.0000 0.0000 0.0000  8 W 3.27
Pb1 0.2500 0.7500 0.5000  4 W 3.01, 4 Pb 3.05
Pb2 0.7500 0.2500 0.5000  4 W 3.01, 4 Pb 3.05
W1 0.4102 0.4102 0.0000  1 W 2.35
W2 0.5898 0.5898 0.0000  1 W 2.35

Calculated values
E_form (uncorrected)   1.23 eV/atom

Number 1: calculated total energy -16.9 eV per cell. Number 2: calculated total energy -60.6 eV per cell. Number 3: calculated total energy -89.1 eV per cell. Number 4: calculated total energy -28.3 eV per cell. Number 5: calculated total energy -59.7 eV per cell. Number 6: calculated total energy -30.5 eV per cell. Number 7: calculated total energy -51.6 eV per cell. Number 8: calculated total energy -31.3 eV per cell.